Entry one
# PBE-GGA CuI2Br, relaxed
data_CuI2Br
_chemical_formula_sum 'Cu1 I2 Br1'
_cell_length_a 4.4030
_cell_length_b 5.9624
_cell_length_c 6.0590
_cell_angle_alpha 97.30
_cell_angle_beta 90.34
_cell_angle_gamma 109.98
_space_group_name_H-M_alt 'P 1'
_space_group_IT_number 1
loop_
_space_group_symop_operation_xyz
'x,y,z'
loop_
_atom_site_label
_atom_site_type_symbol
_atom_site_fract_x
_atom_site_fract_y
_atom_site_fract_z
Cu1 Cu 0.0000 0.0000 0.0000
I1 I 0.1726 0.3522 0.3179
I2 I 0.3758 0.7306 0.0146
Br1 Br 0.9672 0.9904 0.6070
# Density of states at the Fermi level, states/eV per cell: 0.09
# M_tot, μB/f.u.: 0.0



Entry two
# PBE-GGA CuI2Br, relaxed
data_CuI2Br
_chemical_formula_sum 'Cu1 I2 Br1'
_cell_length_a 4.2530
_cell_length_b 4.3976
_cell_length_c 8.0672
_cell_angle_alpha 96.83
_cell_angle_beta 94.60
_cell_angle_gamma 93.66
_space_group_name_H-M_alt 'P 1'
_space_group_IT_number 1
loop_
_space_group_symop_operation_xyz
'x,y,z'
loop_
_atom_site_label
_atom_site_type_symbol
_atom_site_fract_x
_atom_site_fract_y
_atom_site_fract_z
Cu1 Cu 0.0000 0.0000 0.0000
I1 I 0.2466 0.7573 0.5049
I2 I 0.9494 0.5396 0.1743
Br1 Br 0.4752 0.0136 0.8456
# Density of states at the Fermi level, states/eV per cell: 0.01
# M_tot, μB/f.u.: 0.0



Entry three
# PBE-GGA CuI2Br, relaxed
data_CuI2Br
_chemical_formula_sum 'Cu2 I4 Br2'
_cell_length_a 4.1965
_cell_length_b 12.4309
_cell_length_c 5.7082
_cell_angle_alpha 90.00
_cell_angle_beta 109.58
_cell_angle_gamma 90.00
_space_group_name_H-M_alt 'P 1 21/m 1'
_space_group_IT_number 11
loop_
_space_group_symop_operation_xyz
'x,y,z'
'-x,-y,-z'
'-x,y+1/2,-z'
'x,-y+1/2,z'
loop_
_atom_site_label
_atom_site_type_symbol
_atom_site_fract_x
_atom_site_fract_y
_atom_site_fract_z
Cu1 Cu 0.0223 0.2500 0.0903
I1 I 0.1098 0.5819 0.1856
Br1 Br 0.3634 0.7500 0.6504
# M_tot, μB/f.u.: 0.0



Entry four
# PBE-GGA CuI2Br, relaxed
data_CuI2Br
_chemical_formula_sum 'Cu2 I4 Br2'
_cell_length_a 6.1095
_cell_length_b 6.8765
_cell_length_c 6.9867
_cell_angle_alpha 89.05
_cell_angle_beta 86.57
_cell_angle_gamma 84.51
_space_group_name_H-M_alt 'P 1'
_space_group_IT_number 1
loop_
_space_group_symop_operation_xyz
'x,y,z'
loop_
_atom_site_label
_atom_site_type_symbol
_atom_site_fract_x
_atom_site_fract_y
_atom_site_fract_z
Cu1 Cu 0.0000 0.0000 0.0000
Cu2 Cu 0.4219 0.3625 0.8504
I1 I 0.0174 0.7613 0.4934
I2 I 0.3127 0.7504 0.8243
I3 I 0.4630 0.2674 0.4971
I4 I 0.7371 0.7783 0.1771
Br1 Br 0.2275 0.2329 0.1323
Br2 Br 0.8115 0.2623 0.8172
# Density of states at the Fermi level, states/eV per cell: 5.88
# M_tot, μB/f.u.: 0.0



Most stable: entry three (next structure +0.016 eV/atom)



Entry one
# PBE-GGA CuI2Br2, relaxed
data_CuI2Br2
_chemical_formula_sum 'Cu2 I4 Br4'
_cell_length_a 7.1421
_cell_length_b 7.1421
_cell_length_c 8.4961
_cell_angle_alpha 90.00
_cell_angle_beta 90.00
_cell_angle_gamma 90.00
_space_group_name_H-M_alt 'P 4/m b m'
_space_group_IT_number 127
_space_group_name_Hall '-P 4 2ab'
loop_
_atom_site_label
_atom_site_type_symbol
_atom_site_fract_x
_atom_site_fract_y
_atom_site_fract_z
Cu1 Cu 0.0000 0.0000 0.0000
I1 I 0.1748 0.3252 0.0000
Br1 Br 0.1146 0.6146 0.5000
# Density of states at the Fermi level, states/eV per cell: 4.90
# M_tot, μB/f.u.: 0.0



Entry two
# PBE-GGA CuI2Br2, relaxed
data_CuI2Br2
_chemical_formula_sum 'Cu2 I4 Br4'
_cell_length_a 3.8835
_cell_length_b 3.8835
_cell_length_c 24.3734
_cell_angle_alpha 90.00
_cell_angle_beta 90.00
_cell_angle_gamma 90.00
_space_group_name_H-M_alt 'I 4/m m m'
_space_group_IT_number 139
_space_group_name_Hall '-I 4 2'
loop_
_atom_site_label
_atom_site_type_symbol
_atom_site_fract_x
_atom_site_fract_y
_atom_site_fract_z
Cu1 Cu 0.0000 0.0000 0.0000
I1 I 0.0000 0.0000 0.4297
Br1 Br 0.0000 0.5000 0.2500
# Density of states at the Fermi level, states/eV per cell: 11.23
# M_tot, μB/f.u.: 0.3



Most stable: entry one (next structure +0.325 eV/atom)